1.
Compound: MgTeS
Source: Alexandria
Functional: GGA-PBE
Structure: relaxed

```
MgTeS
1.0
3.217 0.000 0.002
0.000 3.341 0.000
-0.021 0.000 7.693
Te Mg S
1 1 1
direct
0.999 0.000 0.037
0.994 0.000 0.657
0.494 0.500 0.543
```

Values from the calculation:
ΔE_f (raw) = -578 meV per atom
E above lowest polymorph = 0.021 eV per atom
spin magnetization = 0.0 Bohr magnetons per cell

2.
Compound: Ba6ZnCd
Source: Alexandria
Functional: GGA-PBE
Structure: relaxed

```
Ba6ZnCd
1.0
5.792 0.000 1.744
-0.526 5.768 1.745
-0.386 -0.424 11.770
Ba Cd Zn
6 1 1
direct
0.749 0.749 0.502
0.090 0.590 0.821
0.910 0.410 0.179
0.251 0.251 0.498
0.410 0.910 0.179
0.590 0.090 0.821
0.500 0.500 0.000
0.000 0.000 0.000
```

Values from the calculation:
formation energy from the elements = -91 kJ/mol of formula units
spin magnetization = 0.0 Bohr magnetons per cell